# Sm3Si2Pd6

Crystalline Sm3Si2Pd6 at its relaxed geometry (PBE, Alexandria via LeMat-Bulk).

Results
The density of states at the Fermi level is 3.447 states/eV/f.u. Its energy relative to the elements, uncorrected is -80.7 kJ/mol of atoms.

abc: 9.4493 9.4493 9.4493
angles: 90.00 90.00 90.00
Space group Im-3m (No. 229)
Symmetry-distinct sites (fractional):
Sm1 0.0000 0.0000 0.2864 x12
Si1 0.2500 0.2500 0.2500 x8
Pd1 0.0000 0.3234 0.3234 x24

# KIn2Te2

Crystalline KIn2Te2 at its relaxed geometry (PBE, Alexandria via LeMat-Bulk).

Results
The energy above the most stable polymorph in this dataset comes out at 115 meV/atom. The density of states at the Fermi level is 2.471 states/eV/f.u. Its energy relative to the elements, uncorrected is -35.2 kJ/mol of atoms.

abc: 9.0230 9.0230 4.2047
angles: 90.00 90.00 90.00
Space group P4/mbm (No. 127)
Symmetry-distinct sites (fractional):
K1 0.0000 0.0000 0.0000 x2
In1 0.1335 0.3665 0.5000 x4
Te1 0.1592 0.6592 0.0000 x4

# MnFeNi2

Crystalline MnFeNi2 at its relaxed geometry (PBE, Alexandria via LeMat-Bulk).

Results
The value obtained for the formation energy from the elements is 26.8 meV per atom. The density of states at the Fermi level is 3.639 states/eV/f.u.

abc: 8.5645 2.5993 4.3395
angles: 90.00 101.64 90.00
Space group Cm (No. 8)
Symmetry-distinct sites (fractional):
Mn1 0.0000 0.0000 0.0000 x2
Fe1 0.2597 0.5000 0.2987 x2
Ni1 0.0062 0.5000 0.5061 x2
Ni2 0.2504 0.0000 0.7851 x2

# Na2ReGeO6

Crystalline Na2ReGeO6 at its relaxed geometry (PBE, Alexandria via LeMat-Bulk).

Results
The density of states at the Fermi level is 3.028 states/eV/f.u. Its energy relative to the elements, uncorrected is -152.1 kJ/mol of atoms.

abc: 5.4074 5.4074 3.8171
angles: 90.00 90.00 90.00
Space group P4/mmm (No. 123)
Symmetry-distinct sites (fractional):
Na1 0.0000 0.5000 0.0000 x2
Re1 0.0000 0.0000 0.5000 x1
Ge1 0.5000 0.5000 0.5000 x1
O1 0.0000 0.0000 0.0000 x1
O2 0.2502 0.2502 0.5000 x4
O3 0.5000 0.5000 0.0000 x1

# LiPtI

Crystalline LiPtI at its relaxed geometry (PBE, Alexandria via LeMat-Bulk).

Results
The energy above the most stable polymorph in this dataset comes out at 108 meV/atom. The density of states at the Fermi level is 0.000 states/eV/f.u. Its energy relative to the elements, uncorrected is -45.6 kJ/mol of atoms.

abc: 3.9018 4.3792 8.7424
angles: 75.56 89.99 90.00
Space group P1 (No. 1)
Symmetry-distinct sites (fractional):
Li1 0.0000 0.0000 0.0000 x1
Li2 0.4969 0.8542 0.2927 x1
Pt1 0.0005 0.3934 0.2156 x1
Pt2 0.5006 0.2869 0.4272 x1
I1 0.0005 0.1780 0.6370 x1
I2 0.5005 0.5087 0.9817 x1

# Sr3LiMn

Crystalline Sr3LiMn at its relaxed geometry (PBE, Alexandria via LeMat-Bulk).

Results
The energy above the most stable polymorph in this dataset comes out at 0 meV/atom. The value obtained for the formation energy from the elements is 663.3 meV per atom. The density of states at the Fermi level is 15.027 states/eV/f.u.

abc: 5.8026 5.8026 5.8026
angles: 90.00 90.00 90.00
Space group Pm-3m (No. 221)
Symmetry-distinct sites (fractional):
Sr1 0.0000 0.0000 0.5000 x3
Li1 0.5000 0.5000 0.5000 x1
Mn1 0.0000 0.0000 0.0000 x1

# Dy8P3S4N

Crystalline Dy8P3S4N at its relaxed geometry (PBE, Alexandria via LeMat-Bulk).

Results
The density of states at the Fermi level is 5.866 states/eV/f.u. Its energy relative to the elements, uncorrected is -176.1 kJ/mol of atoms.

abc: 7.7779 7.7779 19.2528
angles: 90.00 90.00 120.00
Space group R-3m (No. 166, hexagonal axes)
Symmetry-distinct sites (fractional):
Dy1 0.0000 0.0000 0.2476 x6
Dy2 0.0195 0.5097 0.2428 x18
P1 0.0000 0.5000 0.5000 x9
S1 0.0000 0.0000 0.0000 x3
S2 0.0000 0.5000 0.0000 x9
N1 0.0000 0.0000 0.5000 x3

# Pr3Sm6Tm2In

Crystalline Pr3Sm6Tm2In at its relaxed geometry (PBE, Alexandria via LeMat-Bulk).

Results
The value obtained for the formation energy from the elements is -27.5 meV per atom. The density of states at the Fermi level is 15.608 states/eV/f.u.

abc: 6.2437 10.8439 11.7782
angles: 90.00 100.36 90.00
Space group C2/m (No. 12)
Symmetry-distinct sites (fractional):
Pr1 0.0000 0.0000 0.0000 x2
Pr2 0.0000 0.3313 0.0000 x4
Sm1 0.2422 0.3367 0.7402 x8
Sm2 0.2471 0.5000 0.2576 x4
Tm1 0.0000 0.1659 0.5000 x4
In1 0.0000 0.5000 0.5000 x2

# Mo2RhW

Crystalline Mo2RhW at its relaxed geometry (PBE, Alexandria via LeMat-Bulk).

Results
The energy above the most stable polymorph in this dataset comes out at 74 meV/atom. The value obtained for the formation energy from the elements is 84.7 meV per atom. The density of states at the Fermi level is 5.220 states/eV/f.u.

abc: 5.4311 8.9486 2.7060
angles: 90.00 108.71 90.00
Space group C2/m (No. 12)
Symmetry-distinct sites (fractional):
Mo1 0.2500 0.2500 0.0000 x4
Rh1 0.0000 0.0000 0.5000 x2
W1 0.0000 0.5000 0.5000 x2

# CaHoCdBi

Crystalline CaHoCdBi at its relaxed geometry (PBE, Alexandria via LeMat-Bulk).

Results
The value obtained for the formation energy from the elements is -420.4 meV per atom. The density of states at the Fermi level is 5.926 states/eV/f.u.

abc: 7.7167 7.7167 7.7167
angles: 90.00 90.00 90.00
Space group F-43m (No. 216)
Symmetry-distinct sites (fractional):
Ca1 0.0000 0.0000 0.0000 x4
Ho1 0.0000 0.0000 0.5000 x4
Cd1 0.2500 0.2500 0.7500 x4
Bi1 0.2500 0.2500 0.2500 x4

# Y2SiP

Crystalline Y2SiP at its relaxed geometry (PBE, Alexandria via LeMat-Bulk).

Results
The energy above the most stable polymorph in this dataset comes out at 162 meV/atom. The density of states at the Fermi level is 0.795 states/eV/f.u. Its energy relative to the elements, uncorrected is -102.6 kJ/mol of atoms.

abc: 3.9345 3.9345 21.1700
angles: 90.00 90.00 120.00
Space group R-3m (No. 166, hexagonal axes)
Symmetry-distinct sites (fractional):
Y1 0.0000 0.0000 0.2444 x6
Si1 0.0000 0.0000 0.0000 x3
P1 0.0000 0.0000 0.5000 x3

# Mg2NiAs2Pd

Crystalline Mg2NiAs2Pd at its relaxed geometry (PBE, Alexandria via LeMat-Bulk).

Results
The value obtained for the formation energy from the elements is -513.6 meV per atom. The density of states at the Fermi level is 3.467 states/eV/f.u.

abc: 5.8263 12.1708 5.7969
angles: 90.00 90.00 90.00
Space group Ibam (No. 72)
Symmetry-distinct sites (fractional):
Mg1 0.2386 0.1554 0.0000 x8
Ni1 0.0000 0.5000 0.2500 x4
As1 0.2187 0.3764 0.0000 x8
Pd1 0.0000 0.0000 0.2500 x4

How do the records compare in energy? In the order shown, they have -261.4 -29.4 -58.2 -65.2 -21.8 -12.8 -321.3 -109.3 -83.3 -52.2 -84.0 -106.2 eV/cell.